RbSiPb3 after structural relaxation. Source: the Alexandria database, functional GGA-PBE.

Summary:
Density of states at the Fermi level (states/eV/f.u.): 7.32
Spin magnetization (μB/cell): 0.0
Raw formation energy (eV per atom): 1.539

CIF file:
```
data_RbSiPb3
_cell_length_a 6.069
_cell_length_b 6.069
_cell_length_c 6.069
_cell_angle_alpha 90.00
_cell_angle_beta 90.00
_cell_angle_gamma 90.00
_space_group_name_H-M_alt 'P m -3 m'
_space_group_IT_number 221
_space_group_name_Hall '-P 4 2 3'
loop_
_atom_site_label
_atom_site_type_symbol
_atom_site_fract_x
_atom_site_fract_y
_atom_site_fract_z
Rb1 Rb 0.000 0.000 0.000
Si1 Si 0.500 0.500 0.500
Pb1 Pb 0.000 0.000 0.500
```


K2NpHgBr6 after structural relaxation. Source: the Alexandria database, functional GGA-PBE.

Summary:
Density of states at the Fermi level (states/eV/f.u.): 5.42
Spin magnetization (μB/cell): 9.0
Raw formation energy (eV per atom): -1.333

CIF file:
```
data_K2NpHgBr6
_cell_length_a 8.1672
_cell_length_b 8.1672
_cell_length_c 22.8180
_cell_angle_alpha 90.00
_cell_angle_beta 90.00
_cell_angle_gamma 120.00
_space_group_name_H-M_alt 'R 3'
_space_group_IT_number 146
_space_group_name_Hall 'R 3'
loop_
_atom_site_label
_atom_site_type_symbol
_atom_site_fract_x
_atom_site_fract_y
_atom_site_fract_z
K1 K 0.0000 0.0000 0.0000
K2 K 0.0000 0.0000 0.4746
Np1 Np 0.0000 0.0000 0.6628
Hg1 Hg 0.0000 0.0000 0.1706
Br1 Br 0.0290 0.7430 0.5898
Br2 Br 0.0600 0.3776 0.3985
```


Th6AsRh2Se3 after structural relaxation. Source: the Alexandria database, functional GGA-PBE.

Summary:
Density of states at the Fermi level (states/eV/f.u.): 8.39
Spin magnetization (μB/cell): 0.0
Raw formation energy (eV per atom): -1.292

CIF file:
```
data_Th6AsRh2Se3
_cell_length_a 7.307
_cell_length_b 12.565
_cell_length_c 7.424
_cell_angle_alpha 90.00
_cell_angle_beta 109.26
_cell_angle_gamma 90.00
_space_group_name_H-M_alt 'C 1 2/m 1'
_space_group_IT_number 12
loop_
_space_group_symop_operation_xyz
'x,y,z'
'-x,-y,-z'
'-x,y,-z'
'x,-y,z'
'x+1/2,y+1/2,z'
'-x+1/2,-y+1/2,-z'
'-x+1/2,y+1/2,-z'
'x+1/2,-y+1/2,z'
loop_
_atom_site_label
_atom_site_type_symbol
_atom_site_fract_x
_atom_site_fract_y
_atom_site_fract_z
Th1 Th 0.229 0.000 0.226
Th2 Th 0.249 0.173 0.769
As1 As 0.000 0.500 0.000
Rh1 Rh 0.000 0.168 0.000
Se1 Se 0.000 0.000 0.500
Se2 Se 0.000 0.342 0.500
```


K4Rb2NaCd2 after structural relaxation. Source: the Alexandria database, functional GGA-PBE.

Summary:
Density of states at the Fermi level (states/eV/f.u.): 5.92
Energy of formation (eV/atom): -0.005
Spin magnetization (μB/cell): 0.0

CIF file:
```
data_K4Rb2NaCd2
_cell_length_a 7.532
_cell_length_b 8.656
_cell_length_c 9.095
_cell_angle_alpha 61.94
_cell_angle_beta 82.06
_cell_angle_gamma 74.74
_space_group_name_H-M_alt 'P -1'
_space_group_IT_number 2
loop_
_space_group_symop_operation_xyz
'x,y,z'
'-x,-y,-z'
loop_
_atom_site_label
_atom_site_type_symbol
_atom_site_fract_x
_atom_site_fract_y
_atom_site_fract_z
K1 K 0.068 0.498 0.236
K2 K 0.265 0.985 0.138
Rb1 Rb 0.282 0.909 0.679
Na1 Na 0.500 0.500 0.500
Cd1 Cd 0.444 0.409 0.915
```


Ac6CoOs2I3 after structural relaxation. Source: the Alexandria database, functional GGA-PBE.

Summary:
Density of states at the Fermi level (states/eV/f.u.): 6.24
Spin magnetization (μB/cell): 0.0
Raw formation energy (eV per atom): -0.585

CIF file:
```
data_Ac6CoOs2I3
_cell_length_a 7.531
_cell_length_b 13.045
_cell_length_c 8.959
_cell_angle_alpha 90.00
_cell_angle_beta 106.28
_cell_angle_gamma 90.00
_space_group_name_H-M_alt 'C 1 2/m 1'
_space_group_IT_number 12
loop_
_space_group_symop_operation_xyz
'x,y,z'
'-x,-y,-z'
'-x,y,-z'
'x,-y,z'
'x+1/2,y+1/2,z'
'-x+1/2,-y+1/2,-z'
'-x+1/2,y+1/2,-z'
'x+1/2,-y+1/2,z'
loop_
_atom_site_label
_atom_site_type_symbol
_atom_site_fract_x
_atom_site_fract_y
_atom_site_fract_z
Ac1 Ac 0.227 0.166 0.183
Ac2 Ac 0.228 0.500 0.183
Co1 Co 0.000 0.000 0.000
Os1 Os 0.000 0.333 0.000
I1 I 0.000 0.168 0.500
I2 I 0.000 0.500 0.500
```


Ac2Zn4NiAu3 after structural relaxation. Source: the Alexandria database, functional GGA-PBE.

Summary:
Density of states at the Fermi level (states/eV/f.u.): 5.91
Energy of formation (eV/atom): -0.482
Spin magnetization (μB/cell): 0.0

CIF file:
```
data_Ac2Zn4NiAu3
_cell_length_a 4.474
_cell_length_b 4.474
_cell_length_c 10.733
_cell_angle_alpha 90.00
_cell_angle_beta 90.00
_cell_angle_gamma 90.00
_space_group_name_H-M_alt 'P -4 m 2'
_space_group_IT_number 115
loop_
_space_group_symop_operation_xyz
'x,y,z'
'y,-x,-z'
'-x,-y,z'
'-y,x,-z'
'-x,y,z'
'-y,-x,-z'
'x,-y,z'
'y,x,-z'
loop_
_atom_site_label
_atom_site_type_symbol
_atom_site_fract_x
_atom_site_fract_y
_atom_site_fract_z
Ac1 Ac 0.000 0.500 0.239
Zn1 Zn 0.000 0.000 0.500
Zn2 Zn 0.000 0.500 0.886
Zn3 Zn 0.500 0.500 0.500
Ni1 Ni 0.500 0.500 0.000
Au1 Au 0.000 0.000 0.000
Au2 Au 0.000 0.500 0.639
```


CaPuS2 after structural relaxation. Source: the Alexandria database, functional GGA-PBE.

Summary:
Density of states at the Fermi level (states/eV/f.u.): 10.26
Spin magnetization (μB/cell): 12.0
Raw formation energy (eV per atom): -1.842

CIF file:
```
data_CaPuS2
_cell_length_a 3.9448
_cell_length_b 3.9448
_cell_length_c 13.6420
_cell_angle_alpha 90.00
_cell_angle_beta 90.00
_cell_angle_gamma 120.00
_space_group_name_H-M_alt 'P 63/m m c'
_space_group_IT_number 194
_space_group_name_Hall '-P 6c 2c'
loop_
_atom_site_label
_atom_site_type_symbol
_atom_site_fract_x
_atom_site_fract_y
_atom_site_fract_z
Ca1 Ca 0.0000 0.0000 0.0000
Pu1 Pu 0.3333 0.6667 0.2500
S1 S 0.3333 0.6667 0.6224
```


Nd8Sm3Mg2 after structural relaxation. Source: the Alexandria database, functional GGA-PBE.

Summary:
Density of states at the Fermi level (states/eV/f.u.): 17.41
Energy of formation (eV/atom): 0.013
Spin magnetization (μB/cell): 0.0

CIF file:
```
data_Nd8Sm3Mg2
_cell_length_a 6.802
_cell_length_b 8.702
_cell_length_c 8.819
_cell_angle_alpha 64.26
_cell_angle_beta 67.46
_cell_angle_gamma 77.64
_space_group_name_H-M_alt 'P -1'
_space_group_IT_number 2
loop_
_space_group_symop_operation_xyz
'x,y,z'
'-x,-y,-z'
loop_
_atom_site_label
_atom_site_type_symbol
_atom_site_fract_x
_atom_site_fract_y
_atom_site_fract_z
Nd1 Nd 0.088 0.016 0.292
Nd2 Nd 0.148 0.215 0.824
Nd3 Nd 0.181 0.389 0.341
Nd4 Nd 0.239 0.590 0.852
Sm1 Sm 0.433 0.813 0.996
Sm2 Sm 0.500 0.000 0.500
Mg1 Mg 0.366 0.658 0.436
```


CsHgBr3 after structural relaxation. Source: the Alexandria database, functional GGA-PBE.

Summary:
Density of states at the Fermi level (states/eV/f.u.): 0.00
Spin magnetization (μB/cell): 0.0
Raw formation energy (eV per atom): -0.992

CIF file:
```
data_CsHgBr3
_cell_length_a 8.192
_cell_length_b 8.192
_cell_length_c 11.453
_cell_angle_alpha 90.00
_cell_angle_beta 90.00
_cell_angle_gamma 90.00
_space_group_name_H-M_alt 'I 4/m m m'
_space_group_IT_number 139
_space_group_name_Hall '-I 4 2'
loop_
_atom_site_label
_atom_site_type_symbol
_atom_site_fract_x
_atom_site_fract_y
_atom_site_fract_z
Cs1 Cs 0.000 0.500 0.250
Hg1 Hg 0.000 0.000 0.000
Hg2 Hg 0.000 0.000 0.500
Br1 Br 0.000 0.000 0.224
Br2 Br 0.236 0.236 0.500
```


NaTmTlZn after structural relaxation. Source: the Alexandria database, functional GGA-PBE.

Summary:
Density of states at the Fermi level (states/eV/f.u.): 2.40
Energy of formation (eV/atom): -0.121
Spin magnetization (μB/cell): 0.0

CIF file:
```
data_NaTmTlZn
_cell_length_a 7.248
_cell_length_b 7.248
_cell_length_c 7.248
_cell_angle_alpha 90.00
_cell_angle_beta 90.00
_cell_angle_gamma 90.00
_space_group_name_H-M_alt 'F -4 3 m'
_space_group_IT_number 216
_space_group_name_Hall 'F -4 2 3'
loop_
_atom_site_label
_atom_site_type_symbol
_atom_site_fract_x
_atom_site_fract_y
_atom_site_fract_z
Na1 Na 0.000 0.000 0.000
Tm1 Tm 0.000 0.000 0.500
Tl1 Tl 0.250 0.250 0.250
Zn1 Zn 0.250 0.250 0.750
```


SrGeF3 after structural relaxation. Source: the Alexandria database, functional GGA-PBE.

Summary:
Density of states at the Fermi level (states/eV/f.u.): 2.87
Spin magnetization (μB/cell): 1.0
Raw formation energy (eV per atom): -2.247

CIF file:
```
data_SrGeF3
_cell_length_a 4.714
_cell_length_b 4.714
_cell_length_c 4.714
_cell_angle_alpha 90.00
_cell_angle_beta 90.00
_cell_angle_gamma 90.00
_space_group_name_H-M_alt 'P m -3 m'
_space_group_IT_number 221
_space_group_name_Hall '-P 4 2 3'
loop_
_atom_site_label
_atom_site_type_symbol
_atom_site_fract_x
_atom_site_fract_y
_atom_site_fract_z
Sr1 Sr 0.000 0.000 0.000
Ge1 Ge 0.500 0.500 0.500
F1 F 0.000 0.000 0.500
```


Ca2YIrPd after structural relaxation. Source: the Alexandria database, functional GGA-PBE.

Summary:
Density of states at the Fermi level (states/eV/f.u.): 4.78
Energy of formation (eV/atom): 0.206
Spin magnetization (μB/cell): 0.0

CIF file:
```
data_Ca2YIrPd
_cell_length_a 5.102
_cell_length_b 5.102
_cell_length_c 5.260
_cell_angle_alpha 90.00
_cell_angle_beta 90.00
_cell_angle_gamma 90.00
_space_group_name_H-M_alt 'P 4/m m m'
_space_group_IT_number 123
_space_group_name_Hall '-P 4 2'
loop_
_atom_site_label
_atom_site_type_symbol
_atom_site_fract_x
_atom_site_fract_y
_atom_site_fract_z
Ca1 Ca 0.000 0.500 0.000
Y1 Y 0.000 0.000 0.500
Ir1 Ir 0.500 0.500 0.500
Pd1 Pd 0.500 0.500 0.000
```


Number 1: energy -9.8 eV for the cell shown. Number 2: energy -116.4 eV for the cell shown. Number 3: energy -179.6 eV for the cell shown. Number 4: energy -9.5 eV for the cell shown. Number 5: energy -131.8 eV for the cell shown. Number 6: energy -33.8 eV for the cell shown. Number 7: energy -63.9 eV for the cell shown. Number 8: energy -55.3 eV for the cell shown. Number 9: energy -44.5 eV for the cell shown. Number 10: energy -39.7 eV for the cell shown. Number 11: energy -23.1 eV for the cell shown. Number 12: energy -23.5 eV for the cell shown.